(1)
# La3Er3Tm

Crystalline La3Er3Tm at its relaxed geometry (PBE-GGA, the Alexandria database).

```
La3Er3Tm
1.0
3.109 1.795 14.558
-3.109 1.795 14.558
0.000 -3.590 14.558
La Er Tm
6 6 2
Direct
0.130 0.459 0.799 La
0.201 0.870 0.541 La
0.459 0.799 0.130 La
0.541 0.201 0.870 La
0.799 0.130 0.459 La
0.870 0.541 0.201 La
0.063 0.730 0.395 Er
0.270 0.605 0.937 Er
0.395 0.063 0.730 Er
0.605 0.937 0.270 Er
0.730 0.395 0.063 Er
0.937 0.270 0.605 Er
0.333 0.333 0.333 Tm
0.667 0.667 0.667 Tm
```

## Properties
Energy of formation from the pure elements = 0.19 eV/atom
Energy above the most stable polymorph in this dataset = 46 meV per atom



(2)
# Rb3Na4Bi2

Crystalline Rb3Na4Bi2 at its relaxed geometry (PBE-GGA, the Alexandria database).

```
Rb3Na4Bi2
1.0
6.723 -2.784 0.000
6.723 2.784 0.000
-2.952 0.000 10.537
Rb Na Bi
3 4 2
Direct
0.000 0.000 0.000 Rb
0.379 0.379 0.619 Rb
0.621 0.621 0.381 Rb
0.102 0.102 0.658 Na
0.277 0.277 0.934 Na
0.723 0.723 0.066 Na
0.898 0.898 0.342 Na
0.288 0.288 0.233 Bi
0.712 0.712 0.767 Bi
```

## Properties
Energy of formation from the pure elements = -0.27 eV/atom



Number 1: E -4.5206 eV per atom, V 34.817 Å³ per atom. Number 2: E -2.0415 eV per atom, V 43.829 Å³ per atom.